1.
Material: Tl2SBr
Method: DFT, GGA-PBE
State: relaxed

Lattice parameters (Å, degrees): 4.2982 4.2982 8.1002 74.61 74.61 60.00
Fractional coordinates of all 4 atoms:
1 Tl 0.0708 0.0708 0.7876
2 Tl 0.2624 0.2624 0.2128
3 S 0.6702 0.6702 0.9895
4 Br 0.4966 0.4966 0.5101

Calculated values
Its space group is R3m. The total DFT energy (no corrections) comes out at -0.1118 hartree per atom. Its volume is 123.4 Å³ per cell. For the magnetization, the calculation gives 0.000 μB per atom. The value obtained for the theoretical density is 7.0 g/cm3.

2.
Material: TlS2Br
Method: DFT, GGA-PBE
State: relaxed

Lattice parameters (Å, degrees): 8.0642 8.0642 8.0642 29.72 29.72 29.72
Fractional coordinates of all 4 atoms:
1 Tl 0.5000 0.5000 0.5000
2 S 0.8937 0.8937 0.8937
3 S 0.1063 0.1063 0.1063
4 Br 0.0000 0.0000 0.0000

Calculated values
Its space group is R-3m. The total DFT energy (no corrections) comes out at -0.1116 hartree per atom. Its volume is 114.1 Å³ per cell. For the magnetization, the calculation gives 0.000 μB per atom. The value obtained for the theoretical density is 5.1 g/cm3.

Copy entry 2 word for word.
Material: TlS2Br
Method: DFT, GGA-PBE
State: relaxed

Lattice parameters (Å, degrees): 8.0642 8.0642 8.0642 29.72 29.72 29.72
Fractional coordinates of all 4 atoms:
1 Tl 0.5000 0.5000 0.5000
2 S 0.8937 0.8937 0.8937
3 S 0.1063 0.1063 0.1063
4 Br 0.0000 0.0000 0.0000

Calculated values
Its space group is R-3m. The total DFT energy (no corrections) comes out at -0.1116 hartree per atom. Its volume is 114.1 Å³ per cell. For the magnetization, the calculation gives 0.000 μB per atom. The value obtained for the theoretical density is 5.1 g/cm3.